(1)
Entry from Alexandria via LeMat-Bulk: a relaxed Na2In2Fe crystal (PBE).

Unit cell a=4.1554 b=4.1554 c=16.9233 alpha=90.00 beta=90.00 gamma=90.00
Space group I4/mmm (No. 139)
Inequivalent atoms, fractional coordinates:
Na  0.0000  0.0000  0.0920 [4 per cell]
In  0.0000  0.5000  0.2500 [4 per cell]
Fe  0.0000  0.0000  0.5000 [2 per cell]

Formation energy: 3.256 eV/f.u.
Excess energy over the best structure of this formula in the dataset: 382.7 meV/atom

(2)
Entry from Alexandria via LeMat-Bulk: a relaxed CsK2PdF5 crystal (PBE).

Unit cell a=7.4818 b=7.4818 c=6.3614 alpha=90.00 beta=90.00 gamma=90.00
Space group P4/mbm (No. 127)
Inequivalent atoms, fractional coordinates:
Cs  0.0000  0.0000  0.0000 [2 per cell]
K  0.1783  0.3217  0.5000 [4 per cell]
Pd  0.0000  0.5000  0.0000 [2 per cell]
F  0.0000  0.0000  0.5000 [2 per cell]
F  0.1307  0.6307  0.2255 [8 per cell]

Uncorrected energy: -0.313 Ry/atom

(3)
Entry from Alexandria via LeMat-Bulk: a relaxed Sm2Er5Th2 crystal (PBE).

Unit cell a=14.8583 b=11.8520 c=6.6196 alpha=90.00 beta=90.00 gamma=90.00
Space group Ima2 (No. 46)
Inequivalent atoms, fractional coordinates:
Sm  0.1257  0.0008  0.0000 [8 per cell]
Er  0.0536  0.7430  0.8404 [8 per cell]
Er  0.1425  0.2276  0.6452 [8 per cell]
Er  0.2500  0.7355  0.6460 [4 per cell]
Th  0.0000  0.0000  0.5379 [4 per cell]
Th  0.2500  0.0020  0.4606 [4 per cell]

Formation energy: 2.171 eV/f.u.
Excess energy over the best structure of this formula in the dataset: 0.0 meV/atom

Number 1: V 292 Å³ per cell. Number 2: V 356 Å³ per cell. Number 3: V 1166 Å³ per cell.